The following is a DFT calculation (GGA-PBE) of a relaxed structure of MgAlMo2. Values from VASP.

Cell and atoms, written as Quantum ESPRESSO input:
```
&SYSTEM
  ibrav = 0, nat = 4, ntyp = 3
/
ATOMIC_SPECIES
Al 26.98 Al.upf
Mg 24.30 Mg.upf
Mo 95.94 Mo.upf
CELL_PARAMETERS angstrom
-8.9187 -1.6634 3.0770
-8.6792 -3.8642 1.2316
-7.6989 -4.1319 3.9286
ATOMIC_POSITIONS crystal
Al 0.5063 0.5063 0.5063
Mg 0.7488 0.7488 0.7488
Mo 0.9955 0.9955 0.9955
Mo 0.2494 0.2494 0.2494
```

Output
space group	R3m
distance to the lowest polymorph of the same formula	0.236	eV/atom
energy of formation	0.24	eV/atom


The following is a DFT calculation (GGA-PBE) of a relaxed structure of CuAuCl3. Values from VASP.

Cell and atoms, written as Quantum ESPRESSO input:
```
&SYSTEM
  ibrav = 0, nat = 5, ntyp = 3
/
ATOMIC_SPECIES
Au 196.97 Au.upf
Cu 63.55 Cu.upf
Cl 35.45 Cl.upf
CELL_PARAMETERS angstrom
4.7332 0.0000 0.0000
0.0000 4.7332 0.0000
0.0000 0.0000 4.7332
ATOMIC_POSITIONS crystal
Au 0.5000 0.5000 0.5000
Cu 0.0000 0.0000 0.0000
Cl 0.0000 0.5000 0.0000
Cl 0.0000 0.0000 0.5000
Cl 0.5000 0.0000 0.0000
```

Output
E_form (uncorrected)	0.031	eV/atom
space group	Pm-3m
distance to the lowest polymorph of the same formula	0.296	eV/atom


The following is a DFT calculation (GGA-PBE) of a relaxed structure of Cs2TeSeCl6. Values from VASP.

Cell and atoms, written as Quantum ESPRESSO input:
```
&SYSTEM
  ibrav = 0, nat = 10, ntyp = 4
/
ATOMIC_SPECIES
Cs 132.91 Cs.upf
Te 127.60 Te.upf
Se 78.96 Se.upf
Cl 35.45 Cl.upf
CELL_PARAMETERS angstrom
-6.2266 4.9252 -0.5173
-4.8072 -5.8114 2.5327
-4.7217 1.0903 6.0358
ATOMIC_POSITIONS crystal
Cs 0.7500 0.2500 0.5000
Cs 0.2500 0.7500 0.5000
Te 0.0000 0.0000 0.0000
Se 0.5000 0.5000 0.0000
Cl 0.2614 0.2614 0.4772
Cl 0.7386 0.7386 0.5228
Cl 0.2328 0.2328 0.0000
Cl 0.7672 0.7672 0.0000
Cl 0.7672 0.2328 0.0000
Cl 0.2328 0.7672 0.0000
```

Output
E_form (uncorrected)	-0.973	eV/atom
space group	I4/mmm


The following is a DFT calculation (GGA-PBE) of a relaxed structure of La2TmZr. Values from VASP.

Cell and atoms, written as Quantum ESPRESSO input:
```
&SYSTEM
  ibrav = 0, nat = 4, ntyp = 3
/
ATOMIC_SPECIES
Tm 168.93 Tm.upf
Zr 91.22 Zr.upf
La 138.91 La.upf
CELL_PARAMETERS angstrom
-2.6610 -4.6484 -1.5599
2.7787 -4.0510 -2.6440
1.0483 -4.8214 2.6034
ATOMIC_POSITIONS crystal
Tm 0.0000 0.0000 0.0000
Zr 0.5000 0.5000 0.5000
La 0.2500 0.2500 0.2500
La 0.7500 0.7500 0.7500
```

Output
space group	Fm-3m
distance to the lowest polymorph of the same formula	0.054	eV/atom
energy of formation	0.18	eV/atom


Question: What is the formula in the first record?
Answer: MgAlMo2